Below is a relaxed structure of HgOs2Pb, with properties calculated at the PBE level.

Summary:
energy above the lowest structure with this stoichiometry: 0 meV per atom
V: 19.77 A^3/atom
ΔE_f: 0.52 eV/atom

a b c (Å): 2.9958 2.9487 9.0735
angles (deg): 80.58 90.00 90.00
Closest atoms and distances in Å follow each position.
Fractional coordinates of all 4 atoms:
Os1 0.5000 0.3332 0.2078  4 Os 2.61
Os2 0.0000 0.9208 0.0340  4 Os 2.61
Pb1 0.0000 0.7073 0.4586  4 Pb 2.95-3.00, 4 Os 3.07-3.08
Hg1 0.5000 0.5387 0.7996  4 Hg 2.95-3.00, 4 Os 2.97